Computed, not measured: a relaxed structure of CaScMo at the PBE-GGA level of DFT.

abc: 4.8925 4.8925 4.8925
angles: 60.00 60.00 60.00
Last column: nearest neighbours and their distance in Å.
Fractional coordinates of all 3 atoms:
Ca  0.5000  0.5000  0.5000  4 Mo 3.00
Mo  0.2500  0.2500  0.2500  4 Ca 3.00, 4 Sc 3.00
Sc  0.0000  0.0000  0.0000  4 Mo 3.00

## Properties
**Energy relative to the lowest polymorph listed for this composition**: 606.0 meV per atom
**ΔH_f (0 K)**: 1078 meV/atom
**VASP energy**: -5.3102 eV per atom